(1)
## CuTeAs2Se (PBE-GGA)

Data for a relaxed structure of CuTeAs2Se.

Values from the calculation:
ΔE to the lowest computed polymorph = 0 meV per atom
D(E_F) = 0.8359 states/eV per atom
uncorrected formation energy = 0.51 eV/atom
electronic total energy = -3.495 eV/atom

Lattice parameters (Å, degrees): 4.7925 4.7925 4.7706 90.00 90.00 90.00
Closest atoms and distances in Å follow each position.
Atoms (fractional coordinates):
As 0.0000 0.5000 0.0000  2 Cu 2.40
As 0.5000 0.0000 0.0000  2 Cu 2.40
Te 0.5000 0.5000 0.5000  8 As 3.38, 4 Se 3.39
Cu 0.0000 0.0000 0.0000  2 Se 2.39, 4 As 2.40
Se 0.0000 0.0000 0.5000  2 Cu 2.39

---

(2)
## Ba2SrRu (PBE-GGA)

Data for a relaxed structure of Ba2SrRu.

Values from the calculation:
ΔE to the lowest computed polymorph = 47 meV per atom
D(E_F) = 1.2925 states/eV per atom
energy of formation from the pure elements = 359 meV/atom
electronic total energy = -3.342 eV/atom

Lattice parameters (Å, degrees): 3.9323 5.0546 9.0454 73.80 90.00 90.00
Closest atoms and distances in Å follow each position.
Atoms (fractional coordinates):
Ba 0.0000 0.0966 0.9319  1 Ru 2.80
Ba 0.5000 0.4038 0.3170  2 Ru 3.21
Ru 0.0000 0.2581 0.6090  1 Ba 2.80
Sr 0.5000 0.7415 0.6421  4 Ru 3.21-3.22

---

(3)
## AcPrAsPd (PBE-GGA)

Data for a relaxed structure of AcPrAsPd.

Values from the calculation:
D(E_F) = 0.9541 states/eV per atom
energy of formation from the pure elements = -838 meV/atom
electronic total energy = -5.520 eV/atom

Lattice parameters (Å, degrees): 5.3288 5.3288 5.3288 60.00 60.00 60.00
Closest atoms and distances in Å follow each position.
Atoms (fractional coordinates):
Pr 0.0000 0.0000 0.0000  4 Pd 3.26, 4 As 3.26
Ac 0.5000 0.5000 0.5000  4 As 3.26, 4 Pd 3.26
As 0.2500 0.2500 0.2500  4 Pr 3.26, 4 Ac 3.26
Pd 0.7500 0.7500 0.7500  4 Pr 3.26, 4 Ac 3.26

---

(4)
## Pr3Ir (PBE-GGA)

Data for a relaxed structure of Pr3Ir.

Values from the calculation:
D(E_F) = 1.2423 states/eV per atom
energy of formation from the pure elements = -422 meV/atom
electronic total energy = -6.221 eV/atom

Lattice parameters (Å, degrees): 6.6020 7.4370 10.0084 90.00 90.00 90.00
Closest atoms and distances in Å follow each position.
Atoms (fractional coordinates):
Pr 0.3287 0.6747 0.0666  2 Ir 2.95-2.96
Pr 0.1713 0.1747 0.4334  2 Ir 2.95-2.96
Pr 0.6713 0.3253 0.5666  2 Ir 2.95-2.96
Pr 0.8287 0.8253 0.9334  2 Ir 2.95-2.96
Pr 0.6713 0.3253 0.9334  2 Ir 2.95-2.96
Pr 0.8287 0.8253 0.5666  2 Ir 2.95-2.96
Pr 0.3287 0.6747 0.4334  2 Ir 2.95-2.96
Pr 0.1713 0.1747 0.0666  2 Ir 2.95-2.96
Pr 0.8542 0.5365 0.2500  2 Ir 2.90-2.99
Pr 0.6458 0.0365 0.2500  2 Ir 2.90-2.99
Pr 0.1458 0.4635 0.7500  2 Ir 2.90-2.99
Pr 0.3542 0.9635 0.7500  2 Ir 2.90-2.99
Ir 0.0630 0.8796 0.2500  6 Pr 2.90-2.99
Ir 0.4370 0.3796 0.2500  6 Pr 2.90-2.99
Ir 0.9370 0.1204 0.7500  6 Pr 2.90-2.99
Ir 0.5630 0.6204 0.7500  6 Pr 2.90-2.99

---

(5)
## PmMnFeSb (PBE-GGA)

Data for a relaxed structure of PmMnFeSb.

Values from the calculation:
D(E_F) = 0.7365 states/eV per atom
uncorrected formation energy = 0.00 eV/atom
electronic total energy = -6.629 eV/atom

Lattice parameters (Å, degrees): 4.7227 4.7227 4.7227 60.00 60.00 60.00
Closest atoms and distances in Å follow each position.
Atoms (fractional coordinates):
Sb 0.2500 0.2500 0.2500  4 Mn 2.89, 4 Fe 2.89
Mn 0.5000 0.5000 0.5000  4 Pm 2.89, 4 Sb 2.89
Fe 0.0000 0.0000 0.0000  4 Sb 2.89, 4 Pm 2.89
Pm 0.7500 0.7500 0.7500  4 Mn 2.89, 4 Fe 2.89

---

(6)
## PaGe2Ru (PBE-GGA)

Data for a relaxed structure of PaGe2Ru.

Values from the calculation:
D(E_F) = 0.9134 states/eV per atom
energy of formation from the pure elements = -536 meV/atom
electronic total energy = -7.538 eV/atom

Lattice parameters (Å, degrees): 4.2491 8.2988 8.9312 90.00 90.00 104.83
Closest atoms and distances in Å follow each position.
Atoms (fractional coordinates):
Pa 0.5000 0.0000 0.5000  4 Ru 3.12, 10 Ge 3.29-3.35
Pa 0.5000 0.0000 0.0000  4 Ru 3.12, 10 Ge 3.29-3.35
Pa 0.7059 0.4119 0.2500  8 Ge 2.96-3.08, 4 Ru 3.22
Pa 0.2941 0.5881 0.7500  8 Ge 2.96-3.08, 4 Ru 3.22
Ge 0.0815 0.1631 0.7500  1 Ge 2.46, 2 Ru 2.47
Ge 0.0718 0.1437 0.2500  1 Ge 2.46, 2 Ru 2.47
Ge 0.9185 0.8369 0.2500  1 Ge 2.46, 2 Ru 2.47
Ge 0.9282 0.8563 0.7500  1 Ge 2.46, 2 Ru 2.47
Ge 0.3015 0.6029 0.4051  3 Ru 2.47-2.68
Ge 0.6985 0.3971 0.5949  3 Ru 2.47-2.68
Ge 0.6985 0.3971 0.9051  3 Ru 2.47-2.68
Ge 0.3015 0.6029 0.0949  3 Ru 2.47-2.68
Ru 0.8574 0.7148 0.5041  5 Ge 2.47-2.68
Ru 0.1426 0.2852 0.0041  5 Ge 2.47-2.68
Ru 0.8574 0.7148 0.9959  5 Ge 2.47-2.68
Ru 0.1426 0.2852 0.4959  5 Ge 2.47-2.68

---

(7)
## PdPt7 (PBE-GGA)

Data for a relaxed structure of PdPt7.

Values from the calculation:
D(E_F) = 2.0537 states/eV per atom
energy of formation from the pure elements = -12 meV/atom
electronic total energy = -5.947 eV/atom

Lattice parameters (Å, degrees): 5.6105 5.6105 5.6105 60.00 60.00 60.00
Closest atoms and distances in Å follow each position.
Atoms (fractional coordinates):
Pd 0.0000 0.0000 0.0000  12 Pt 2.81
Pt 0.5000 0.5000 0.0000  2 Pd 2.81, 10 Pt 2.81
Pt 0.5000 0.0000 0.5000  10 Pt 2.81, 2 Pd 2.81
Pt 0.0000 0.5000 0.5000  10 Pt 2.81, 2 Pd 2.81
Pt 0.5000 0.0000 0.0000  10 Pt 2.81, 2 Pd 2.81
Pt 0.0000 0.5000 0.0000  10 Pt 2.81, 2 Pd 2.81
Pt 0.0000 0.0000 0.5000  10 Pt 2.81, 2 Pd 2.81
Pt 0.5000 0.5000 0.5000  12 Pt 2.81

---

(8)
## ReMoW2 (PBE-GGA)

Data for a relaxed structure of ReMoW2.

Values from the calculation:
ΔE to the lowest computed polymorph = 317 meV per atom
D(E_F) = 1.0123 states/eV per atom
energy of formation from the pure elements = 324 meV/atom
electronic total energy = -11.972 eV/atom

Lattice parameters (Å, degrees): 4.9378 4.9378 2.7886 90.00 90.00 110.20
Closest atoms and distances in Å follow each position.
Atoms (fractional coordinates):
Mo 0.5000 0.0000 0.5000  2 Mo 2.79, 2 Re 2.83, 8 W 2.84
Re 0.0000 0.5000 0.5000  2 Re 2.79, 2 Mo 2.83, 8 W 2.84
W 0.0000 0.0000 0.0000  4 W 2.79-2.83, 4 Re 2.84, 4 Mo 2.84
W 0.5000 0.5000 0.0000  4 W 2.79-2.83, 4 Mo 2.84, 4 Re 2.84

---

(9)
## Pm8Y3 (PBE-GGA)

Data for a relaxed structure of Pm8Y3.

Values from the calculation:
ΔE to the lowest computed polymorph = 0 meV per atom
D(E_F) = 1.0912 states/eV per atom
energy of formation from the pure elements = 350 meV/atom
electronic total energy = -4.868 eV/atom

Lattice parameters (Å, degrees): 7.6115 7.6114 7.6113 105.34 105.34 105.34
Closest atoms and distances in Å follow each position.
Atoms (fractional coordinates):
Pm 0.6826 0.1723 0.0717  3 Pm 2.97-3.16, 2 Y 3.26-3.32
Pm 0.0717 0.6826 0.1723  3 Pm 2.97-3.16, 2 Y 3.26-3.32
Pm 0.1723 0.0717 0.6826  3 Pm 2.97-3.16, 2 Y 3.26-3.32
Pm 0.7296 0.7296 0.7296  3 Y 3.54, 3 Pm 3.84
Pm 0.2704 0.2704 0.2704  3 Y 3.54, 3 Pm 3.84
Pm 0.8277 0.9283 0.3174  3 Pm 2.97-3.16, 2 Y 3.26-3.32
Pm 0.9283 0.3174 0.8277  3 Pm 2.97-3.16, 2 Y 3.26-3.32
Pm 0.3174 0.8277 0.9283  3 Pm 2.97-3.16, 2 Y 3.26-3.32
Y 0.0000 0.5000 0.5000  6 Pm 3.26-3.54
Y 0.5000 0.0000 0.5000  6 Pm 3.26-3.54
Y 0.5000 0.5000 0.0000  6 Pm 3.26-3.54

---

(10)
## La2GaS (PBE-GGA)

Data for a relaxed structure of La2GaS.

Values from the calculation:
ΔE to the lowest computed polymorph = 573 meV per atom
D(E_F) = 0.9805 states/eV per atom
uncorrected formation energy = -0.79 eV/atom
electronic total energy = -5.039 eV/atom

Lattice parameters (Å, degrees): 6.5198 6.5198 8.3715 67.08 67.08 90.00
Closest atoms and distances in Å follow each position.
Atoms (fractional coordinates):
S 0.5000 0.5000 0.0000  4 La 2.81
S 0.2500 0.7500 0.5000  4 La 2.81
Ga 0.0000 0.0000 0.0000  4 La 2.98
Ga 0.7500 0.2500 0.5000  4 La 2.98
La 0.6030 0.1250 0.2500  2 S 2.81, 2 Ga 2.98
La 0.1470 0.6250 0.2500  2 S 2.81, 2 Ga 2.98
La 0.3750 0.3970 0.7500  2 S 2.81, 2 Ga 2.98
La 0.8750 0.8530 0.7500  2 S 2.81, 2 Ga 2.98

---

(11)
## Ac2AlSn2 (PBE-GGA)

Data for a relaxed structure of Ac2AlSn2.

Values from the calculation:
ΔE to the lowest computed polymorph = 0 meV per atom
D(E_F) = 0.4545 states/eV per atom
energy of formation from the pure elements = -593 meV/atom
electronic total energy = -4.586 eV/atom

Lattice parameters (Å, degrees): 4.6807 6.6292 11.3825 79.76 78.13 69.33
Closest atoms and distances in Å follow each position.
Atoms (fractional coordinates):
Ac 0.6992 0.2509 0.3506  3 Al 3.39-3.75, 7 Sn 3.41-3.78
Ac 0.9064 0.2818 0.9054  2 Al 3.32, 6 Sn 3.42-3.68
Ac 0.3008 0.7491 0.6494  3 Al 3.39-3.75, 7 Sn 3.41-3.78
Ac 0.0936 0.7182 0.0946  2 Al 3.32, 6 Sn 3.42-3.68
Al 0.5484 0.1993 0.7039  3 Sn 2.72-2.75
Al 0.4516 0.8007 0.2961  3 Sn 2.72-2.75
Sn 0.0596 0.2998 0.5810  2 Al 2.75, 1 Sn 2.90
Sn 0.6481 0.8375 0.8664  1 Al 2.72
Sn 0.9404 0.7002 0.4190  2 Al 2.75, 1 Sn 2.90
Sn 0.3519 0.1625 0.1336  1 Al 2.72

---

(12)
## PRuS2O (PBE-GGA)

Data for a relaxed structure of PRuS2O.

Values from the calculation:
ΔE to the lowest computed polymorph = 125 meV per atom
D(E_F) = 1.2342 states/eV per atom
uncorrected formation energy = 1.00 eV/atom
electronic total energy = -4.577 eV/atom

Lattice parameters (Å, degrees): 4.4523 4.4523 4.7126 90.00 90.00 90.00
Closest atoms and distances in Å follow each position.
Atoms (fractional coordinates):
Ru 0.0000 0.0000 0.0000  4 S 2.23, 2 P 2.36
S 0.0000 0.5000 0.0000  2 Ru 2.23
S 0.5000 0.0000 0.0000  2 Ru 2.23
O 0.5000 0.5000 0.5000  4 P 3.15, 8 S 3.24
P 0.0000 0.0000 0.5000  2 Ru 2.36